1.
The following is a DFT calculation (PBE) of a relaxed CoIr crystal.

Unit cell a=8.7178 b=2.6746 c=4.4569 alpha=90.00 beta=100.71 gamma=90.00
Closest atoms and distances in Å follow each position.
Space group C2/m (No. 12)
Asymmetric unit:
Co: 0.1268 0.0000 0.3822 x4  7 Ir 2.56-2.63, 5 Co 2.58-2.67
Ir: 0.1238 0.5000 0.8722 x4  7 Co 2.56-2.63, 5 Ir 2.62-2.67

## Properties
**E**: -7.95 eV/atom
**Total moment**: 5.3 Bohr magnetons per cell

---

2.
The following is a DFT calculation (PBE) of a relaxed CoIr crystal.

Unit cell a=4.9077 b=4.9077 c=4.9077 alpha=90.00 beta=90.00 gamma=90.00
Closest atoms and distances in Å follow each position.
Space group Fm-3m (No. 225)
Asymmetric unit:
Co: 0.0000 0.0000 0.0000 x4  6 Ir 2.45
Ir: 0.0000 0.0000 0.5000 x4  6 Co 2.45

## Properties
**E**: -7.08 eV/atom
**Total moment**: 10.3 Bohr magnetons per cell

---

3.
The following is a DFT calculation (PBE) of a relaxed Co13Ir2 crystal.

Unit cell a=4.3881 b=5.6744 c=7.5860 alpha=72.52 beta=73.47 gamma=82.77
Closest atoms and distances in Å follow each position.
Space group P-1 (No. 2)
Asymmetric unit:
Co: 0.0000 0.0000 0.0000 x1  12 Co 2.48-2.54
Co: 0.0679 0.3965 0.7430 x2  10 Co 2.47-2.64, 2 Ir 2.56-2.57
Co: 0.2032 0.2056 0.1913 x2  10 Co 2.44-2.56, 2 Ir 2.60-2.61
Co: 0.2675 0.6002 0.9346 x2  12 Co 2.47-2.54
Co: 0.3335 0.9970 0.6752 x2  9 Co 2.49-2.64, 3 Ir 2.54-2.60
Co: 0.4062 0.3998 0.3929 x2  9 Co 2.49-2.64, 3 Ir 2.52-2.56
Co: 0.4695 0.8001 0.1275 x2  11 Co 2.44-2.56, 1 Ir 2.55
Ir: 0.1367 0.7949 0.4649 x2  11 Co 2.52-2.61, 1 Ir 2.61

## Properties
**E**: -7.31 eV/atom
**Total moment**: 22.3 Bohr magnetons per cell

---

4.
The following is a DFT calculation (PBE) of a relaxed CoIr2 crystal.

Unit cell a=7.2250 b=7.2250 c=7.2250 alpha=90.00 beta=90.00 gamma=90.00
Closest atoms and distances in Å follow each position.
Space group Fd-3m (No. 227, origin choice 2)
Asymmetric unit:
Co: 0.1250 0.1250 0.1250 x8  12 Ir 3.00, 4 Co 3.13
Ir: 0.0000 0.0000 0.5000 x16  6 Ir 2.55

## Properties
**E**: -7.60 eV/atom
**Total moment**: 29.1 Bohr magnetons per cell

---

5.
The following is a DFT calculation (PBE) of a relaxed KCoIr2 crystal.

Unit cell a=2.7691 b=2.7691 c=29.4604 alpha=90.00 beta=90.00 gamma=120.00
Closest atoms and distances in Å follow each position.
Space group R-3m (No. 166, hexagonal axes)
Asymmetric unit:
K: 0.0000 0.0000 0.0000 x3  6 K 2.77
Co: 0.0000 0.0000 0.5000 x3  6 Ir 2.59, 6 Co 2.77
Ir: 0.0000 0.0000 0.2357 x6  3 Co 2.59, 6 Ir 2.77

## Properties
**Energy above the most stable polymorph in this dataset**: 23.6 meV per atom
**E**: -5.95 eV/atom
**Total moment**: 9.1 Bohr magnetons per cell

---

6.
The following is a DFT calculation (PBE) of a relaxed KCoIr2 crystal.

Unit cell a=5.6810 b=9.2737 c=2.5427 alpha=90.00 beta=90.00 gamma=90.00
Closest atoms and distances in Å follow each position.
Space group Cmmm (No. 65)
Asymmetric unit:
K: 0.0000 0.0000 0.0000 x2  2 K 2.54, 2 Co 2.84
Co: 0.0000 0.5000 0.0000 x2  2 Co 2.54, 2 K 2.84
Ir: 0.2500 0.2500 0.5000 x4  4 Ir 2.54-2.84

## Properties
**Energy above the most stable polymorph in this dataset**: 533.2 meV per atom
**E**: -5.44 eV/atom
**Total moment**: 4.0 Bohr magnetons per cell

---

7.
The following is a DFT calculation (PBE) of a relaxed KCoIr2 crystal.

Unit cell a=2.7990 b=2.7990 c=8.9462 alpha=90.00 beta=90.00 gamma=90.00
Closest atoms and distances in Å follow each position.
Space group P4mm (No. 99)
Asymmetric unit:
K: 0.0000 0.0000 0.0000 x1  4 K 2.80
Co: 0.5000 0.5000 0.3155 x1  4 Ir 2.53, 4 Co 2.80
Ir: 0.0000 0.0000 0.4919 x1  4 Co 2.53, 8 Ir 2.69-2.80
Ir: 0.5000 0.5000 0.6960 x1  8 Ir 2.69-2.80

## Properties
**Energy above the most stable polymorph in this dataset**: 65.1 meV per atom
**E**: -5.91 eV/atom
**Total moment**: 1.4 Bohr magnetons per cell

---

8.
The following is a DFT calculation (PBE) of a relaxed KCoIr2 crystal.

Unit cell a=2.6649 b=4.1354 c=7.3345 alpha=90.00 beta=99.67 gamma=90.00
Closest atoms and distances in Å follow each position.
Space group P2/m (No. 10)
Asymmetric unit:
K: 0.0000 0.0000 0.0000 x1  2 K 2.66
Co: 0.5000 0.0000 0.5000 x1  4 Ir 2.47, 2 Co 2.66
Ir: 0.3051 0.5000 0.6592 x2  2 Co 2.47, 4 Ir 2.61-2.71

## Properties
**Energy above the most stable polymorph in this dataset**: 230.4 meV per atom
**E**: -5.74 eV/atom
**Total moment**: 3.0 Bohr magnetons per cell

---

9.
The following is a DFT calculation (PBE) of a relaxed KCoIr2 crystal.

Unit cell a=11.1734 b=2.6841 c=5.9997 alpha=90.00 beta=111.43 gamma=90.00
Closest atoms and distances in Å follow each position.
Space group C2/m (No. 12)
Asymmetric unit:
K: 0.0000 0.0000 0.0000 x2  2 K 2.68
Co: 0.0000 0.5000 0.5000 x2  4 Ir 2.45, 2 Co 2.68
Ir: 0.1966 0.0000 0.6178 x4  2 Co 2.45, 4 Ir 2.54-2.68

## Properties
**Energy above the most stable polymorph in this dataset**: 135.9 meV per atom
**E**: -5.84 eV/atom
**Total moment**: 4.1 Bohr magnetons per cell

---

10.
The following is a DFT calculation (PBE) of a relaxed K3CoIr crystal.

Unit cell a=6.1152 b=6.1152 c=6.1152 alpha=90.00 beta=90.00 gamma=90.00
Closest atoms and distances in Å follow each position.
Space group Pm-3m (No. 221)
Asymmetric unit:
K: 0.0000 0.0000 0.5000 x3  2 Ir 3.06
Co: 0.5000 0.5000 0.5000 x1  12 K 4.32
Ir: 0.0000 0.0000 0.0000 x1  6 K 3.06

## Properties
**E**: -2.58 eV/atom
**Total moment**: 1.2 Bohr magnetons per cell

---

11.
The following is a DFT calculation (PBE) of a relaxed KCoIr2 crystal.

Unit cell a=2.6787 b=5.2585 c=10.4170 alpha=90.00 beta=90.00 gamma=90.00
Closest atoms and distances in Å follow each position.
Space group Imm2 (No. 44)
Asymmetric unit:
K: 0.0000 0.0000 0.0000 x2  2 K 2.68, 4 Ir 2.95
Co: 0.0000 0.5000 0.7883 x2  2 Ir 2.50, 2 Co 2.68
Ir: 0.0000 0.0000 0.4910 x2  2 Co 2.50, 4 Ir 2.59-2.68
Ir: 0.0000 0.5000 0.2041 x2  4 Ir 2.59-2.68

## Properties
**Energy above the most stable polymorph in this dataset**: 361.4 meV per atom
**E**: -5.61 eV/atom
**Total moment**: 5.9 Bohr magnetons per cell

---

12.
The following is a DFT calculation (PBE) of a relaxed KCoIr2 crystal.

Unit cell a=6.4350 b=6.4350 c=6.4350 alpha=90.00 beta=90.00 gamma=90.00
Closest atoms and distances in Å follow each position.
Space group F-43m (No. 216)
Asymmetric unit:
K: 0.0000 0.0000 0.0000 x4  4 Co 2.79, 4 Ir 2.79
Co: 0.2500 0.2500 0.7500 x4  4 K 2.79, 4 Ir 2.79
Ir: 0.0000 0.0000 0.5000 x4  4 Co 2.79, 4 Ir 2.79
Ir: 0.2500 0.2500 0.2500 x4  4 K 2.79, 4 Ir 2.79

## Properties
**Energy above the most stable polymorph in this dataset**: 685.8 meV per atom
**E**: -5.29 eV/atom
**Total moment**: 15.2 Bohr magnetons per cell